The following is a GGA-PBE calculation of an optimized crystal structure of Sc2Re, from Alexandria.

The electronic total energy comes out at -8.208 eV per atom. The calculation puts the formation enthalpy at 0 K at 0.16 eV/atom. Its total moment is 0.00 μB/cell.

```
Sc2Re
1.0
2.9751 0.0000 0.0000
0.0000 4.9947 0.0000
0.0000 0.0000 7.9107
Sc Re
4 2
direct
0.0000 0.5001 0.1889 Sc
0.5000 0.0001 0.3110 Sc
0.5000 0.9999 0.6890 Sc
0.0000 0.4999 0.8111 Sc
0.0000 0.0000 0.0000 Re
0.5000 0.5000 0.5000 Re
```